[1]
This record from the Alexandria database describes a relaxed GaSe2BrO crystal. The functional is PBE.

Structure (extended XYZ):
```
5
Lattice="-2.8978 -2.9372 -0.6069 2.6558 -2.1208 -2.4169 2.3284 -3.4516 5.5874" Properties=species:S:1:pos:R:3 pbc="T T T"
Se -1.4489 -1.4686 -0.3034
Se 1.3279 -1.0604 -1.2084
Br 1.1642 -1.7258 2.7937
Ga 1.0432 -4.2548 1.2818
O 0.0000 0.0000 0.0000
```

## Properties
Calculated density: 4433 kg/m3
ΔE to the lowest computed polymorph: 0.0000 eV per atom
Total magnetization: 0.32 μB per cell
Energy: -3.1919 eV per atom

[2]
This record from the Alexandria database describes a relaxed GaSnBrO2 crystal. The functional is PBE.

Structure (extended XYZ):
```
10
Lattice="3.9919 0.0000 0.0000 0.0000 9.6003 -0.8900 0.0000 -3.4691 6.2735" Properties=species:S:1:pos:R:3 pbc="T T T"
Ga 0.9980 4.1134 2.2206
Sn 2.9939 -0.2080 5.9534
Ga 2.9939 2.0178 3.1629
O 0.9980 2.5904 3.4090
O 0.9980 4.2295 0.3033
Br 2.9939 -0.0423 2.0860
O 2.9939 1.9017 5.0802
O 2.9939 3.5408 1.9745
Sn 0.9980 6.3392 -0.5699
Br 0.9980 6.1735 3.2976
```

## Properties
Calculated density: 4373 kg/m3
Total magnetization: 0.00 μB per cell
Energy: -5.0871 eV per atom